{
  "formula": "Na3Cd3Ga2",
  "functional": "GGA-PBE",
  "state": "relaxed",
  "cell": [[4.500, -0.008, -0.007], [-0.007, 4.664, 0.262], [2.224, 1.641, 9.071]],
  "species": ["Na", "Na", "Na", "Cd", "Cd", "Cd", "Ga", "Ga"],
  "frac_coords": [[0.868, 0.365, 0.264], [0.132, 0.635, 0.736], [0.000, 0.000, 0.000], [0.360, 0.855, 0.283], [0.500, 0.500, 0.000], [0.640, 0.145, 0.717], [0.753, 0.751, 0.499], [0.247, 0.249, 0.501]],
  "dft_energy_ha_per_atom": -0.06027,
  "e_above_lowest_polymorph_kcal_per_mol_atoms": 0.40,
  "space_group": "P-1",
  "total_magnetization_mub_per_fu": 0.00
}

---

{
  "formula": "NaNdCdGa",
  "functional": "GGA-PBE",
  "state": "relaxed",
  "cell": [[-2.237, 2.875, 3.722], [1.439, -0.597, 4.969], [2.722, 3.742, 2.390]],
  "species": ["Na", "Nd", "Ga", "Cd"],
  "frac_coords": [[0.000, 0.000, 0.000], [0.500, 0.500, 0.500], [0.250, 0.250, 0.250], [0.750, 0.750, 0.750]],
  "dft_energy_ha_per_atom": -0.10139,
  "space_group": "F-43m",
  "total_magnetization_mub_per_fu": 0.00
}